VASP calculation (GGA-PBE) on crystalline Zr2Cu2Hg at its relaxed geometry.

space group = I4/mmm (139)
DFT formation energy = 0.08 eV/atom

abc: 3.319 3.319 8.982
angles: 79.35 79.35 90.00
Atoms (fractional coordinates):
Cu 0.750 0.250 0.500
Cu 0.250 0.750 0.500
Hg 0.000 0.000 0.000
Zr 0.382 0.382 0.236
Zr 0.618 0.618 0.764